1.
MoBr2O | PBE+U | optimized geometry

CIF file:
```
data_MoBr2O
_chemical_formula_sum 'Mo1 Br2 O1'
_space_group_name_H-M_alt 'P -1'
_space_group_IT_number 2
_cell_length_a 3.8491
_cell_length_b 3.8768
_cell_length_c 7.8257
_cell_angle_alpha 89.19
_cell_angle_beta 75.89
_cell_angle_gamma 90.00
loop_
_space_group_symop_operation_xyz
'x,y,z'
'-x,-y,-z'
loop_
_atom_site_label
_atom_site_fract_x
_atom_site_fract_y
_atom_site_fract_z
Mo1 0.0000 0.0000 0.0000
Br1 0.3779 0.9931 0.2429
O1 0.0000 0.5000 0.0000
```

Crystal system: triclinic
Magnetic moment: 2.00 Bohr magnetons per cell
V: 28.31 A^3/atom

---

2.
MoBrO2 | PBE+U | optimized geometry

CIF file:
```
data_MoBrO2
_chemical_formula_sum 'Mo4 Br4 O8'
_space_group_name_H-M_alt 'F m -3 m'
_space_group_IT_number 225
_space_group_name_Hall '-F 4 2 3'
_cell_length_a 5.8876
_cell_length_b 5.8876
_cell_length_c 5.8876
_cell_angle_alpha 90.00
_cell_angle_beta 90.00
_cell_angle_gamma 90.00
loop_
_atom_site_label
_atom_site_fract_x
_atom_site_fract_y
_atom_site_fract_z
Mo1 0.0000 0.0000 0.0000
Br1 0.0000 0.0000 0.5000
O1 0.2500 0.2500 0.2500
```

Crystal system: cubic
Magnetic moment: 4.00 Bohr magnetons per cell
V: 12.76 A^3/atom

---

3.
MoBr2O | PBE+U | optimized geometry

CIF file:
```
data_MoBr2O
_chemical_formula_sum 'Mo4 Br8 O4'
_space_group_name_H-M_alt 'I -4 2 d'
_space_group_IT_number 122
_space_group_name_Hall 'I -4 2bw'
_cell_length_a 7.3585
_cell_length_b 7.3585
_cell_length_c 7.2554
_cell_angle_alpha 90.00
_cell_angle_beta 90.00
_cell_angle_gamma 90.00
loop_
_atom_site_label
_atom_site_fract_x
_atom_site_fract_y
_atom_site_fract_z
Mo1 0.0000 0.0000 0.0000
Br1 0.2336 0.2500 0.1250
O1 0.0000 0.0000 0.5000
```

Crystal system: tetragonal
Magnetic moment: 8.00 Bohr magnetons per cell
V: 24.55 A^3/atom

---

4.
MoPBrO2 | PBE+U | optimized geometry

CIF file:
```
data_MoPBrO2
_chemical_formula_sum 'Mo1 P1 Br1 O2'
_space_group_name_H-M_alt 'P 4/m m m'
_space_group_IT_number 123
_space_group_name_Hall '-P 4 2'
_cell_length_a 3.8610
_cell_length_b 3.8610
_cell_length_c 5.3937
_cell_angle_alpha 90.00
_cell_angle_beta 90.00
_cell_angle_gamma 90.00
loop_
_atom_site_label
_atom_site_fract_x
_atom_site_fract_y
_atom_site_fract_z
Mo1 0.0000 0.0000 0.0000
P1 0.0000 0.0000 0.5000
Br1 0.5000 0.5000 0.5000
O1 0.0000 0.5000 0.0000
```

Crystal system: tetragonal
Magnetic moment: 0.82 Bohr magnetons per cell
V: 16.08 A^3/atom

---

| no. | polymorph energy (0 for the lowest one) (meV per atom) |
| --- | --- |
| 1 | 0 |
| 2 | 1429 |
| 3 | 1328 |
| 4 | 0 |